(1)
# Ac6AsO12

A relaxed Ac6AsO12 crystal (PBE, Alexandria via LeMat-Bulk).

POSCAR file:
```
Ac6AsO12
1.0
5.336 3.081 3.392
-5.336 3.081 3.392
0.000 -6.161 3.392
Ac As O
6 1 12
direct
0.100 0.796 0.642 Ac
0.204 0.358 0.900 Ac
0.358 0.900 0.204 Ac
0.642 0.100 0.796 Ac
0.796 0.642 0.100 Ac
0.900 0.204 0.358 Ac
0.500 0.500 0.500 As
0.052 0.903 0.323 O
0.097 0.677 0.948 O
0.230 0.437 0.525 O
0.323 0.052 0.903 O
0.437 0.525 0.230 O
0.475 0.770 0.563 O
0.525 0.230 0.437 O
0.563 0.475 0.770 O
0.677 0.948 0.097 O
0.770 0.563 0.475 O
0.903 0.323 0.052 O
0.948 0.097 0.677 O
```

density of states at the Fermi level = 17.797 states/eV/f.u.
electronic total energy = -7.534 eV per atom
energy relative to the elements, uncorrected = -2.861 eV/atom

(2)
# Ac2AsO5

A relaxed Ac2AsO5 crystal (PBE, Alexandria via LeMat-Bulk).

POSCAR file:
```
Ac2AsO5
1.0
10.055 0.000 0.000
0.000 8.033 0.000
-1.991 0.000 6.920
Ac As O
8 4 20
direct
0.018 0.121 0.241 Ac
0.018 0.379 0.741 Ac
0.382 0.149 0.105 Ac
0.382 0.351 0.605 Ac
0.618 0.649 0.395 Ac
0.618 0.851 0.895 Ac
0.982 0.621 0.259 Ac
0.982 0.879 0.759 Ac
0.295 0.578 0.071 As
0.295 0.922 0.571 As
0.705 0.078 0.429 As
0.705 0.422 0.929 As
0.100 0.639 0.961 O
0.100 0.861 0.461 O
0.121 0.115 0.960 O
0.121 0.385 0.460 O
0.284 0.084 0.392 O
0.284 0.416 0.892 O
0.403 0.057 0.773 O
0.403 0.443 0.273 O
0.413 0.723 0.030 O
0.413 0.777 0.530 O
0.587 0.223 0.470 O
0.587 0.277 0.970 O
0.597 0.557 0.727 O
0.597 0.943 0.227 O
0.716 0.584 0.108 O
0.716 0.916 0.608 O
0.879 0.615 0.540 O
0.879 0.885 0.040 O
0.900 0.139 0.539 O
0.900 0.361 0.039 O
```

density of states at the Fermi level = 2.014 states/eV/f.u.
electronic total energy = -7.273 eV per atom
energy relative to the elements, uncorrected = -2.566 eV/atom

(3)
# Ac2AsO6

A relaxed Ac2AsO6 crystal (PBE, Alexandria via LeMat-Bulk).

POSCAR file:
```
Ac2AsO6
1.0
5.669 0.000 0.000
0.000 6.389 0.000
-5.005 0.000 7.863
Ac As O
4 2 12
direct
0.219 0.085 0.252 Ac
0.219 0.415 0.752 Ac
0.781 0.585 0.248 Ac
0.781 0.915 0.748 Ac
0.500 0.000 0.000 As
0.500 0.500 0.500 As
0.184 0.144 0.960 O
0.184 0.356 0.460 O
0.302 0.744 0.942 O
0.302 0.756 0.442 O
0.384 0.041 0.776 O
0.384 0.459 0.276 O
0.616 0.541 0.724 O
0.616 0.959 0.224 O
0.698 0.244 0.558 O
0.698 0.256 0.058 O
0.816 0.644 0.540 O
0.816 0.856 0.040 O
```

density of states at the Fermi level = 3.188 states/eV/f.u.
electronic total energy = -7.132 eV per atom
energy relative to the elements, uncorrected = -2.397 eV/atom

(4)
# Ac3AsO6

A relaxed Ac3AsO6 crystal (PBE, Alexandria via LeMat-Bulk).

POSCAR file:
```
Ac3AsO6
1.0
4.865 -6.103 0.000
4.865 6.103 0.000
0.000 0.000 6.407
Ac As O
6 2 12
direct
0.100 0.900 0.500 Ac
0.191 0.413 0.533 Ac
0.413 0.191 0.033 Ac
0.587 0.809 0.533 Ac
0.809 0.587 0.033 Ac
0.900 0.100 0.000 Ac
0.326 0.674 0.096 As
0.674 0.326 0.596 As
0.107 0.606 0.214 O
0.152 0.172 0.267 O
0.172 0.152 0.767 O
0.282 0.718 0.630 O
0.394 0.893 0.214 O
0.451 0.549 0.259 O
0.549 0.451 0.759 O
0.606 0.107 0.714 O
0.718 0.282 0.130 O
0.828 0.848 0.267 O
0.848 0.828 0.767 O
0.893 0.394 0.714 O
```

density of states at the Fermi level = 0.000 states/eV/f.u.
electronic total energy = -7.537 eV per atom
energy relative to the elements, uncorrected = -2.864 eV/atom

(5)
# Ac3AsO

A relaxed Ac3AsO crystal (PBE, Alexandria via LeMat-Bulk).

POSCAR file:
```
Ac3AsO
1.0
5.194 0.000 0.000
0.000 5.194 0.000
0.000 0.000 5.194
Ac As O
3 1 1
direct
0.000 0.000 0.500 Ac
0.000 0.500 0.000 Ac
0.500 0.000 0.000 Ac
0.500 0.500 0.500 As
0.000 0.000 0.000 O
```

density of states at the Fermi level = 5.831 states/eV/f.u.
electronic total energy = -5.628 eV per atom
energy relative to the elements, uncorrected = -1.242 eV/atom

(6)
# Ac2AsO5

A relaxed Ac2AsO5 crystal (PBE, Alexandria via LeMat-Bulk).

POSCAR file:
```
Ac2AsO5
1.0
5.707 0.000 0.000
0.000 5.707 0.000
0.000 0.000 7.493
Ac As O
4 2 10
direct
0.000 0.500 0.000 Ac
0.000 0.500 0.500 Ac
0.500 0.000 0.000 Ac
0.500 0.000 0.500 Ac
0.000 0.000 0.251 As
0.500 0.500 0.751 As
0.000 0.000 0.486 O
0.234 0.234 0.237 O
0.234 0.766 0.237 O
0.266 0.266 0.737 O
0.266 0.734 0.737 O
0.500 0.500 0.986 O
0.734 0.266 0.737 O
0.734 0.734 0.737 O
0.766 0.234 0.237 O
0.766 0.766 0.237 O
```

density of states at the Fermi level = 1.540 states/eV/f.u.
electronic total energy = -7.133 eV per atom
energy relative to the elements, uncorrected = -2.426 eV/atom

(7)
# AcAs2O6

A relaxed AcAs2O6 crystal (PBE, Alexandria via LeMat-Bulk).

POSCAR file:
```
AcAs2O6
1.0
3.125 1.804 6.275
-3.125 1.804 6.275
0.000 -3.608 6.275
Ac As O
1 2 6
direct
0.000 0.000 0.000 Ac
0.596 0.596 0.596 As
0.736 0.736 0.736 As
0.276 0.699 0.773 O
0.444 0.947 0.857 O
0.699 0.773 0.276 O
0.773 0.276 0.699 O
0.857 0.444 0.947 O
0.947 0.857 0.444 O
```

density of states at the Fermi level = 1.936 states/eV/f.u.
electronic total energy = -6.415 eV per atom
energy relative to the elements, uncorrected = -1.620 eV/atom

(8)
# AcAs3O6

A relaxed AcAs3O6 crystal (PBE, Alexandria via LeMat-Bulk).

POSCAR file:
```
AcAs3O6
1.0
6.018 3.474 1.463
-6.018 3.474 1.463
0.000 -6.949 1.463
Ac As O
1 3 6
direct
0.000 0.000 0.000 Ac
0.061 0.538 0.538 As
0.538 0.061 0.538 As
0.538 0.538 0.061 As
0.267 0.895 0.895 O
0.355 0.599 0.599 O
0.599 0.355 0.599 O
0.599 0.599 0.355 O
0.895 0.267 0.895 O
0.895 0.895 0.267 O
```

density of states at the Fermi level = 0.000 states/eV/f.u.
electronic total energy = -6.408 eV per atom
energy relative to the elements, uncorrected = -1.627 eV/atom

(9)
# Ac4As2O

A relaxed Ac4As2O crystal (PBE, Alexandria via LeMat-Bulk).

POSCAR file:
```
Ac4As2O
1.0
4.962 0.000 0.000
0.000 4.962 0.000
0.000 0.000 16.966
Ac As O
8 4 2
direct
0.000 0.000 0.178 Ac
0.000 0.000 0.822 Ac
0.000 0.500 0.000 Ac
0.000 0.500 0.500 Ac
0.500 0.000 0.000 Ac
0.500 0.000 0.500 Ac
0.500 0.500 0.322 Ac
0.500 0.500 0.678 Ac
0.000 0.000 0.368 As
0.000 0.000 0.632 As
0.500 0.500 0.132 As
0.500 0.500 0.868 As
0.000 0.000 0.000 O
0.500 0.500 0.500 O
```

density of states at the Fermi level = 6.613 states/eV/f.u.
electronic total energy = -5.738 eV per atom
energy relative to the elements, uncorrected = -1.353 eV/atom

(10)
# Ac12As3O5

A relaxed Ac12As3O5 crystal (PBE, Alexandria via LeMat-Bulk).

POSCAR file:
```
Ac12As3O5
1.0
-8.447 8.447 8.447
8.447 -8.447 8.447
8.447 8.447 -8.447
Ac As O
48 12 20
direct
0.018 0.205 0.115 Ac
0.018 0.313 0.903 Ac
0.090 0.705 0.687 Ac
0.090 0.885 0.403 Ac
0.097 0.615 0.410 Ac
0.097 0.982 0.687 Ac
0.115 0.018 0.205 Ac
0.115 0.597 0.910 Ac
0.187 0.205 0.590 Ac
0.187 0.482 0.597 Ac
0.205 0.115 0.018 Ac
0.205 0.590 0.187 Ac
0.295 0.313 0.910 Ac
0.295 0.482 0.385 Ac
0.313 0.903 0.018 Ac
0.313 0.910 0.295 Ac
0.385 0.295 0.482 Ac
0.385 0.590 0.903 Ac
0.403 0.090 0.885 Ac
0.403 0.813 0.518 Ac
0.410 0.097 0.615 Ac
0.410 0.813 0.795 Ac
0.482 0.385 0.295 Ac
0.482 0.597 0.187 Ac
0.518 0.403 0.813 Ac
0.518 0.615 0.705 Ac
0.590 0.187 0.205 Ac
0.590 0.903 0.385 Ac
0.597 0.187 0.482 Ac
0.597 0.910 0.115 Ac
0.615 0.410 0.097 Ac
0.615 0.705 0.518 Ac
0.687 0.090 0.705 Ac
0.687 0.097 0.982 Ac
0.705 0.518 0.615 Ac
0.705 0.687 0.090 Ac
0.795 0.410 0.813 Ac
0.795 0.885 0.982 Ac
0.813 0.518 0.403 Ac
0.813 0.795 0.410 Ac
0.885 0.403 0.090 Ac
0.885 0.982 0.795 Ac
0.903 0.018 0.313 Ac
0.903 0.385 0.590 Ac
0.910 0.115 0.597 Ac
0.910 0.295 0.313 Ac
0.982 0.687 0.097 Ac
0.982 0.795 0.885 Ac
0.125 0.250 0.375 As
0.125 0.375 0.750 As
0.250 0.375 0.125 As
0.250 0.875 0.625 As
0.375 0.125 0.250 As
0.375 0.750 0.125 As
0.625 0.250 0.875 As
0.625 0.875 0.750 As
0.750 0.125 0.375 As
0.750 0.625 0.875 As
0.875 0.625 0.250 As
0.875 0.750 0.625 As
0.000 0.000 0.000 O
0.000 0.000 0.500 O
0.000 0.500 0.000 O
0.000 0.500 0.500 O
0.125 0.750 0.875 O
0.125 0.875 0.250 O
0.250 0.125 0.875 O
0.250 0.625 0.375 O
0.375 0.250 0.625 O
0.375 0.625 0.750 O
0.500 0.000 0.000 O
0.500 0.000 0.500 O
0.500 0.500 0.000 O
0.500 0.500 0.500 O
0.625 0.375 0.250 O
0.625 0.750 0.375 O
0.750 0.375 0.625 O
0.750 0.875 0.125 O
0.875 0.125 0.750 O
0.875 0.250 0.125 O
```

density of states at the Fermi level = 19.400 states/eV/f.u.
electronic total energy = -6.019 eV per atom
energy relative to the elements, uncorrected = -1.617 eV/atom

(11)
# AcAsO

A relaxed AcAsO crystal (PBE, Alexandria via LeMat-Bulk).

POSCAR file:
```
AcAsO
1.0
4.260 0.000 0.000
0.000 14.433 0.000
0.000 0.000 4.426
Ac As O
4 4 4
direct
0.000 0.164 0.250 Ac
0.000 0.836 0.750 Ac
0.500 0.336 0.750 Ac
0.500 0.664 0.250 Ac
0.000 0.462 0.250 As
0.000 0.538 0.750 As
0.500 0.038 0.750 As
0.500 0.962 0.250 As
0.000 0.249 0.750 O
0.000 0.751 0.250 O
0.500 0.251 0.250 O
0.500 0.749 0.750 O
```

density of states at the Fermi level = 1.153 states/eV/f.u.
electronic total energy = -6.842 eV per atom
energy relative to the elements, uncorrected = -2.270 eV/atom

(12)
# Ac3AsO7

A relaxed Ac3AsO7 crystal (PBE, Alexandria via LeMat-Bulk).

POSCAR file:
```
Ac3AsO7
1.0
5.735 -3.812 0.000
5.735 3.812 0.000
0.000 0.000 8.045
Ac As O
6 2 14
direct
0.002 0.998 0.500 Ac
0.104 0.466 0.247 Ac
0.466 0.104 0.747 Ac
0.534 0.896 0.247 Ac
0.896 0.534 0.747 Ac
0.998 0.002 0.000 Ac
0.495 0.505 0.481 As
0.505 0.495 0.981 As
0.099 0.160 0.750 O
0.160 0.099 0.250 O
0.214 0.552 0.536 O
0.217 0.555 0.968 O
0.425 0.575 0.264 O
0.445 0.783 0.968 O
0.448 0.786 0.536 O
0.552 0.214 0.036 O
0.555 0.217 0.468 O
0.575 0.425 0.764 O
0.783 0.445 0.468 O
0.786 0.448 0.036 O
0.840 0.901 0.750 O
0.901 0.840 0.250 O
```

density of states at the Fermi level = 0.000 states/eV/f.u.
electronic total energy = -7.435 eV per atom
energy relative to the elements, uncorrected = -2.736 eV/atom

Copy entry 1 word for word.
# Ac6AsO12

A relaxed Ac6AsO12 crystal (PBE, Alexandria via LeMat-Bulk).

POSCAR file:
```
Ac6AsO12
1.0
5.336 3.081 3.392
-5.336 3.081 3.392
0.000 -6.161 3.392
Ac As O
6 1 12
direct
0.100 0.796 0.642 Ac
0.204 0.358 0.900 Ac
0.358 0.900 0.204 Ac
0.642 0.100 0.796 Ac
0.796 0.642 0.100 Ac
0.900 0.204 0.358 Ac
0.500 0.500 0.500 As
0.052 0.903 0.323 O
0.097 0.677 0.948 O
0.230 0.437 0.525 O
0.323 0.052 0.903 O
0.437 0.525 0.230 O
0.475 0.770 0.563 O
0.525 0.230 0.437 O
0.563 0.475 0.770 O
0.677 0.948 0.097 O
0.770 0.563 0.475 O
0.903 0.323 0.052 O
0.948 0.097 0.677 O
```

density of states at the Fermi level = 17.797 states/eV/f.u.
electronic total energy = -7.534 eV per atom
energy relative to the elements, uncorrected = -2.861 eV/atom

Which of these has the lowest energy relative to the elements, uncorrected? Ac3AsO6